[1]
## TbBeI (PBE-GGA)

Data for a geometry-optimized TbBeI structure.

POSCAR file:
```
TbBeI
1.0
-1.812 -2.842 2.532
-1.723 -1.720 -3.164
10.072 -5.510 -2.489
Be I Tb
2 2 2
Direct
0.487 0.750 0.974 Be
0.513 0.250 0.026 Be
0.834 0.750 0.668 I
0.166 0.250 0.332 I
0.933 0.250 0.865 Tb
0.067 0.750 0.135 Tb
```

E_form (uncorrected): -441 meV/atom
spin magnetization: 0.0 μB per cell
total DFT energy (no corrections): -3.74 eV/atom


[2]
## Na2Sb2C (PBE-GGA)

Data for a geometry-optimized Na2Sb2C structure.

POSCAR file:
```
Na2Sb2C
1.0
-1.910 4.116 -4.823
-6.073 -2.634 0.157
-1.450 3.557 3.610
Sb C Na
4 2 4
Direct
0.160 0.660 0.500 Sb
0.660 0.840 0.500 Sb
0.840 0.340 0.500 Sb
0.340 0.160 0.500 Sb
0.000 0.000 0.000 C
0.500 0.500 0.000 C
0.339 0.839 0.000 Na
0.839 0.661 0.000 Na
0.661 0.161 0.000 Na
0.161 0.339 0.000 Na
```

E_form (uncorrected): 994 meV/atom
spin magnetization: 2.7 μB per cell
polymorph energy (0 for the lowest one): 0.000 eV per atom
total DFT energy (no corrections): -3.03 eV/atom


[3]
## AlWAu2 (PBE-GGA)

Data for a geometry-optimized AlWAu2 structure.

POSCAR file:
```
AlWAu2
1.0
-1.869 -4.618 -2.532
-0.110 -4.796 2.866
-1.735 5.259 -0.750
Au Al W
2 1 1
Direct
0.016 0.016 0.000 Au
0.748 0.248 0.500 Au
0.249 0.749 0.500 Al
0.487 0.487 0.000 W
```

spin magnetization: 0.3 μB per cell
total DFT energy (no corrections): -5.63 eV/atom


[4]
## ZrZn (PBE-GGA)

Data for a geometry-optimized ZrZn structure.

POSCAR file:
```
ZrZn
1.0
2.441 -4.228 0.000
2.441 4.228 0.000
0.000 0.000 7.817
Zr Zn
4 4
Direct
0.000 0.000 0.250 Zr
0.000 0.000 0.750 Zr
0.333 0.667 0.750 Zr
0.667 0.333 0.250 Zr
0.333 0.667 0.096 Zn
0.667 0.333 0.596 Zn
0.667 0.333 0.904 Zn
0.333 0.667 0.404 Zn
```

spin magnetization: 0.0 μB per cell
total DFT energy (no corrections): -4.59 eV/atom